[1]
Nd3Zn2Pb | PBE | relaxed

Electronic total energy, eV/atom: -3.7951
Crystal system: orthorhombic

a b c (Å): 8.4369 8.4369 3.8059
angles (deg): 90.00 90.00 143.09
Last column: nearest neighbours and their distance in Å.
Fractional positions:
1 Nd 0.0000 0.0000 0.0000  4 Pb 3.28, 4 Zn 3.31
2 Nd 0.3250 0.6750 0.0000  6 Zn 3.13-3.28, 2 Pb 3.39
3 Nd 0.6750 0.3250 0.0000  6 Zn 3.13-3.28, 2 Pb 3.39
4 Zn 0.1694 0.8306 0.5000  8 Nd 3.13-3.31
5 Zn 0.8306 0.1694 0.5000  8 Nd 3.13-3.31
6 Pb 0.5000 0.5000 0.5000  8 Nd 3.28-3.39

---

[2]
Y3InSi2Pt9 | PBE | relaxed

Electronic total energy, eV/atom: -6.6002
Crystal system: trigonal

a b c (Å): 5.6606 5.6606 11.1762
angles (deg): 90.00 90.00 120.00
Last column: nearest neighbours and their distance in Å.
Fractional positions:
1 Y 0.0000 0.0000 0.0000  6 Pt 2.83
2 Y 0.3333 0.6667 0.6016  6 Pt 3.01
3 Y 0.6667 0.3333 0.3984  6 Pt 3.01
4 In 0.0000 0.0000 0.5000  6 Pt 2.69
5 Si 0.3333 0.6667 0.1576  6 Pt 2.36-2.40
6 Si 0.6667 0.3333 0.8424  6 Pt 2.36-2.40
7 Pt 0.0000 0.5000 0.0000  2 Si 2.40
8 Pt 0.1646 0.3292 0.3079  1 Si 2.36
9 Pt 0.1646 0.8354 0.3079  1 Si 2.36
10 Pt 0.3292 0.1646 0.6921  1 Si 2.36
11 Pt 0.5000 0.0000 0.0000  2 Si 2.40
12 Pt 0.5000 0.5000 0.0000  2 Si 2.40
13 Pt 0.6708 0.8354 0.3079  1 Si 2.36
14 Pt 0.8354 0.1646 0.6921  1 Si 2.36
15 Pt 0.8354 0.6708 0.6921  1 Si 2.36

---

[3]
YAgAs2 | PBE | relaxed

Electronic total energy, eV/atom: -5.1734
Crystal system: tetragonal

a b c (Å): 3.9611 3.9611 5.7678
angles (deg): 90.00 90.00 90.00
Last column: nearest neighbours and their distance in Å.
Fractional positions:
1 Y 0.0000 0.0000 0.0000  6 As 2.83-2.94
2 Ag 0.5000 0.5000 0.4004  6 As 2.85-2.89
3 As 0.0000 0.0000 0.4904  2 Y 2.83-2.94, 4 Ag 2.85
4 As 0.5000 0.5000 0.9001  4 Y 2.86, 2 Ag 2.88-2.89

---

[4]
TlWBr2 | PBE | relaxed

Electronic total energy, eV/atom: -4.0641
Crystal system: tetragonal

a b c (Å): 3.1849 3.1849 10.3612
angles (deg): 90.00 90.00 90.00
Last column: nearest neighbours and their distance in Å.
Fractional positions:
1 Tl 0.0000 0.0000 0.0000  4 Tl 3.18
2 W 0.0000 0.0000 0.5000  8 Br 2.76
3 Br 0.5000 0.5000 0.3459  4 W 2.76
4 Br 0.5000 0.5000 0.6541  4 W 2.76

---

[5]
MnBeHg2 | PBE | relaxed

Electronic total energy, eV/atom: -2.7491
Crystal system: tetragonal

a b c (Å): 9.4465 9.4465 9.4465
angles (deg): 154.33 154.33 36.63
Last column: nearest neighbours and their distance in Å.
Fractional positions:
1 Mn 0.0000 0.0000 0.0000  4 Hg 2.72, 4 Be 2.97
2 Mn 0.7500 0.2500 0.5000  4 Hg 2.72, 4 Be 2.97
3 Be 0.2500 0.7500 0.5000  4 Hg 2.66, 4 Mn 2.97
4 Be 0.5000 0.5000 0.0000  4 Hg 2.66, 4 Mn 2.97
5 Hg 0.1423 0.6250 0.0173  2 Be 2.66, 2 Mn 2.72, 2 Hg 2.87
6 Hg 0.3750 0.3923 0.5173  2 Be 2.66, 2 Mn 2.72, 2 Hg 2.87
7 Hg 0.6077 0.1250 0.9827  2 Be 2.66, 2 Mn 2.72, 2 Hg 2.87
8 Hg 0.8750 0.8577 0.4827  2 Be 2.66, 2 Mn 2.72, 2 Hg 2.87

---

[6]
LaYIrI | PBE | relaxed

Electronic total energy, eV/atom: -6.4597
Crystal system: trigonal

a b c (Å): 8.4676 8.4676 8.4676
angles (deg): 28.60 28.60 28.60
Last column: nearest neighbours and their distance in Å.
Fractional positions:
1 La 0.0000 0.0000 0.0000  3 Ir 2.85
2 Y 0.7877 0.7877 0.7877  3 Ir 2.81
3 Ir 0.3956 0.3956 0.3956  3 Y 2.81, 3 La 2.85
4 I 0.2210 0.2210 0.2210  3 Y 3.43, 3 La 3.65

---

Q: What is the formula in the first record?
A: Nd3Zn2Pb

---

Q: Which of these has the highest electronic total energy?
A: MnBeHg2

---

Q: Which of these has the highest electronic total energy?
A: MnBeHg2